# Ta2Au3

A geometry-optimized Ta2Au3 structure (PBE-GGA, the Alexandria database).

Results
**Energy above the most stable polymorph in this dataset**: 0.00 kcal/mol of atoms
**Fermi-level density of states**: 0.8375 states/eV per atom
**Formation energy**: 56.4 meV per atom
**Energy**: -33.26 eV per cell

Cell and atoms, written as CIF:
```
data_Ta2Au3
_cell_length_a 12.0185
_cell_length_b 12.0185
_cell_length_c 12.0185
_cell_angle_alpha 14.14
_cell_angle_beta 14.14
_cell_angle_gamma 14.14
_symmetry_space_group_name_H-M 'P 1'
_symmetry_Int_Tables_number 1
loop_
_symmetry_equiv_pos_as_xyz
'x,y,z'
loop_
_atom_site_label
_atom_site_type_symbol
_atom_site_fract_x
_atom_site_fract_y
_atom_site_fract_z
_atom_site_occupancy
Ta1 Ta 0.5996 0.5996 0.5996 1
Ta2 Ta 0.4004 0.4004 0.4004 1
Au1 Au 0.0000 0.0000 0.0000 1
Au2 Au 0.7989 0.7989 0.7989 1
Au3 Au 0.2011 0.2011 0.2011 1
```